PBEsol MnAl2Tl, optimized geometry; E_tot = -19.4 eV per formula unit; E_form = 0.30 eV/atom; distance to the lowest polymorph of the same formula = 41 meV/atom
1.0
4.048 0.000 0.000
0.000 4.110 0.000
0.000 0.000 4.110
Tl Mn Al
1 1 2
Cartesian
2.024 0.000 0.000
2.024 2.055 2.055
0.000 0.000 2.055
0.000 2.055 0.000